# 1
A plane-wave DFT calculation with PBE-GGA was carried out for a relaxed Pm2ErMg4 crystal.

```
7
Lattice="-2.716 2.716 7.267 2.716 -2.716 7.267 2.716 2.716 -7.267" Properties=species:S:1:pos:R:3 pbc="T T T"
Pm 0.000 0.000 3.601
Pm 0.000 0.000 10.932
Er 0.000 0.000 7.267
Mg 2.716 0.000 1.648
Mg 2.716 0.000 5.619
Mg 0.000 2.716 1.648
Mg 0.000 2.716 5.619
```

Results
- Space-group type: No. 139
- Energy relative to the lowest polymorph listed for this composition: 0.0000 eV per atom


# 2
A plane-wave DFT calculation with PBE-GGA was carried out for a relaxed Pm4Er2Mg crystal.

```
14
Lattice="-3.401 5.647 5.984 3.401 -5.647 5.984 3.401 5.647 -5.984" Properties=species:S:1:pos:R:3 pbc="T T T"
Pm 0.000 0.148 1.851
Pm 1.518 2.824 -0.109
Pm 1.883 -2.824 5.874
Pm 3.401 0.148 4.133
Pm 0.000 5.499 1.851
Pm 1.518 8.471 0.109
Pm 1.883 2.824 6.093
Pm 3.401 5.499 4.133
Er 3.401 0.000 0.000
Er 3.401 2.824 -2.596
Er 0.000 0.000 5.984
Er 0.000 2.824 8.580
Mg -1.700 2.824 2.992
Mg 1.700 2.824 2.992
```

Results
- Space-group type: No. 74
- Energy relative to the lowest polymorph listed for this composition: 0.0693 eV per atom


# 3
A plane-wave DFT calculation with PBE-GGA was carried out for a relaxed Pm2PrErMg crystal.

```
10
Lattice="6.246 0.000 0.000 0.000 5.688 0.000 -3.019 0.000 8.982" Properties=species:S:1:pos:R:3 pbc="T T T"
Pm -0.619 1.422 2.710
Pm 0.445 4.266 0.973
Pm 2.781 1.422 8.009
Pm 3.845 4.266 6.273
Pr 2.560 1.422 1.006
Pr 0.666 4.266 7.977
Er 0.616 4.266 4.507
Er 2.611 1.422 4.475
Mg -0.377 1.422 6.203
Mg 3.604 4.266 2.780
```

Results
- Space-group type: No. 11


# 4
A plane-wave DFT calculation with PBE-GGA was carried out for a relaxed PmPr2ErMg crystal.

```
10
Lattice="5.927 0.000 0.000 0.000 7.386 0.000 0.000 0.000 7.563" Properties=species:S:1:pos:R:3 pbc="T T T"
Pm 1.482 0.000 1.123
Pm 4.445 0.000 6.440
Pr 1.482 1.624 5.186
Pr 1.482 5.763 5.186
Pr 4.445 1.624 2.377
Pr 4.445 5.763 2.377
Er 1.482 3.693 2.754
Er 4.445 3.693 4.809
Mg 0.000 3.693 0.000
Mg 2.963 3.693 0.000
```

Results
- Space-group type: No. 51


# 5
A plane-wave DFT calculation with PBE-GGA was carried out for a relaxed Pm5Pr2ErMg crystal.

```
18
Lattice="2.783 -10.137 0.000 2.783 10.137 0.000 0.000 0.000 10.776" Properties=species:S:1:pos:R:3 pbc="T T T"
Pm 2.783 -10.136 0.000
Pm 2.783 10.136 5.388
Pm 2.783 7.682 8.083
Pm 2.783 5.838 0.568
Pm 2.783 5.841 4.823
Pm 2.783 0.299 8.083
Pm 2.783 -0.299 2.695
Pm 2.783 -5.838 5.956
Pm 2.783 -5.841 10.212
Pm 2.783 -7.682 2.695
Pr 2.783 2.342 4.961
Pr 2.783 2.340 0.430
Pr 2.783 -2.340 5.819
Pr 2.783 -2.342 10.349
Er 2.783 4.079 8.084
Er 2.783 -4.079 2.696
Mg 2.783 8.203 2.691
Mg 2.783 -8.203 8.079
```

Results
- Space-group type: No. 36


# 6
A plane-wave DFT calculation with PBE-GGA was carried out for a relaxed Pm2Pr4ErMg crystal.

```
8
Lattice="5.114 0.000 0.000 0.000 5.114 0.000 0.000 0.000 10.183" Properties=species:S:1:pos:R:3 pbc="T T T"
Pm 0.000 0.000 0.000
Pm 2.557 2.557 5.092
Pr 0.000 2.557 2.520
Pr 0.000 2.557 7.663
Pr 2.557 0.000 2.520
Pr 2.557 0.000 7.663
Er 0.000 0.000 5.092
Mg 2.557 2.557 0.000
```

Results
- Space-group type: No. 123


Spin magnetization, record by record: 0.00; 0.00; 0.00; 0.00; 0.00; 0.00 μB per formula unit
Formation enthalpy at 0 K, record by record: 0.1240; 0.1918; 0.0182; 0.1515; 0.0851; 0.0039 eV/atom